one.
# MnNiOs3 (PBE, relaxed)
data_MnNiOs3
_cell_length_a 4.341
_cell_length_b 4.341
_cell_length_c 4.341
_cell_angle_alpha 90.00
_cell_angle_beta 90.00
_cell_angle_gamma 90.00
_symmetry_space_group_name_H-M 'P m -3 m'
_symmetry_Int_Tables_number 221
_symmetry_space_group_name_Hall '-P 4 2 3'
loop_
_atom_site_label
_atom_site_type_symbol
_atom_site_fract_x
_atom_site_fract_y
_atom_site_fract_z
Mn1 Mn 0.000 0.000 0.000
Ni1 Ni 0.500 0.500 0.500
Os1 Os 0.000 0.500 0.500
# Crystal system = cubic
# Size of the total moment = 0.00 μB per cell

***

two.
# MnNiOs3 (PBE, relaxed)
data_MnNiOs3
_cell_length_a 4.382
_cell_length_b 4.382
_cell_length_c 4.382
_cell_angle_alpha 90.00
_cell_angle_beta 90.00
_cell_angle_gamma 90.00
_symmetry_space_group_name_H-M 'P m -3 m'
_symmetry_Int_Tables_number 221
_symmetry_space_group_name_Hall '-P 4 2 3'
loop_
_atom_site_label
_atom_site_type_symbol
_atom_site_fract_x
_atom_site_fract_y
_atom_site_fract_z
Mn1 Mn 0.000 0.000 0.000
Ni1 Ni 0.500 0.500 0.500
Os1 Os 0.000 0.000 0.500
# Crystal system = cubic
# Size of the total moment = 1.64 μB per cell

***

It is two that is the most stable of them.

***

one.
# Mn4NiOs (PBE, relaxed)
data_Mn4NiOs
_cell_length_a 6.536
_cell_length_b 6.536
_cell_length_c 6.536
_cell_angle_alpha 90.00
_cell_angle_beta 90.00
_cell_angle_gamma 90.00
_symmetry_space_group_name_H-M 'F -4 3 m'
_symmetry_Int_Tables_number 216
_symmetry_space_group_name_Hall 'F -4 2 3'
loop_
_atom_site_label
_atom_site_type_symbol
_atom_site_fract_x
_atom_site_fract_y
_atom_site_fract_z
Mn1 Mn 0.124 0.124 0.124
Ni1 Ni 0.250 0.250 0.750
Os1 Os 0.000 0.000 0.500
# Crystal system = cubic
# Size of the total moment = 14.08 μB per cell

***

two.
# Mn4NiOs (PBE, relaxed)
data_Mn4NiOs
_cell_length_a 4.407
_cell_length_b 2.547
_cell_length_c 6.273
_cell_angle_alpha 90.00
_cell_angle_beta 102.96
_cell_angle_gamma 90.00
_symmetry_space_group_name_H-M 'P 1 2/m 1'
_symmetry_Int_Tables_number 10
loop_
_symmetry_equiv_pos_as_xyz
'x,y,z'
'-x,-y,-z'
'-x,y,-z'
'x,-y,z'
loop_
_atom_site_label
_atom_site_type_symbol
_atom_site_fract_x
_atom_site_fract_y
_atom_site_fract_z
Mn1 Mn 0.212 0.000 0.156
Mn2 Mn 0.283 0.500 0.847
Ni1 Ni 0.000 0.000 0.500
Os1 Os 0.500 0.500 0.500
# Crystal system = monoclinic
# Size of the total moment = 0.00 μB per cell

***

It is two that is the most stable of them.

***

one.
# Mn3NiP (PBE, relaxed)
data_Mn3NiP
_cell_length_a 4.462
_cell_length_b 4.462
_cell_length_c 4.462
_cell_angle_alpha 90.00
_cell_angle_beta 90.00
_cell_angle_gamma 90.00
_symmetry_space_group_name_H-M 'P m -3 m'
_symmetry_Int_Tables_number 221
_symmetry_space_group_name_Hall '-P 4 2 3'
loop_
_atom_site_label
_atom_site_type_symbol
_atom_site_fract_x
_atom_site_fract_y
_atom_site_fract_z
Mn1 Mn 0.000 0.000 0.500
Ni1 Ni 0.000 0.000 0.000
P1 P 0.500 0.500 0.500
# Crystal system = cubic
# Size of the total moment = 12.41 μB per cell

***

two.
# Mn3NiP (PBE, relaxed)
data_Mn3NiP
_cell_length_a 4.065
_cell_length_b 4.065
_cell_length_c 4.065
_cell_angle_alpha 90.00
_cell_angle_beta 90.00
_cell_angle_gamma 90.00
_symmetry_space_group_name_H-M 'P m -3 m'
_symmetry_Int_Tables_number 221
_symmetry_space_group_name_Hall '-P 4 2 3'
loop_
_atom_site_label
_atom_site_type_symbol
_atom_site_fract_x
_atom_site_fract_y
_atom_site_fract_z
Mn1 Mn 0.000 0.000 0.500
Ni1 Ni 0.500 0.500 0.500
P1 P 0.000 0.000 0.000
# Crystal system = cubic
# Size of the total moment = 0.00 μB per cell

***

It is two that is the most stable of them.